Entry from the Alexandria database: an optimized crystal structure of Pm2AlPd (PBE).

a = 3.6036 Å, b = 3.6036 Å, c = 7.5209 Å
α = 90.00°, β = 90.00°, γ = 90.00°
Closest atoms and distances in Å follow each position.
Fractional coordinates of all 4 atoms:
Pm1 0.0000 0.0000 0.2371  4 Pd 3.11, 4 Al 3.23
Pm2 0.0000 0.0000 0.7629  4 Pd 3.11, 4 Al 3.23
Al1 0.5000 0.5000 0.5000  8 Pm 3.23, 4 Al 3.60
Pd1 0.5000 0.5000 0.0000  8 Pm 3.11

As for the density of states at the Fermi level: 0.444 states/eV per atom. The space group is No. 123. The value obtained for the energy of formation from the pure elements is -561 meV/atom.

---

Entry from the Alexandria database: an optimized crystal structure of LiZr2C4 (PBE).

a = 3.5645 Å, b = 3.5645 Å, c = 11.8473 Å
α = 90.00°, β = 90.00°, γ = 90.00°
Closest atoms and distances in Å follow each position.
Fractional coordinates of all 14 atoms:
Li1 0.0000 0.0000 0.0000  4 C 1.78
Li2 0.5000 0.5000 0.5000  4 C 1.78
Zr1 0.0000 0.0000 0.3624  5 C 2.26-2.42
Zr2 0.0000 0.0000 0.6376  5 C 2.26-2.42
Zr3 0.5000 0.5000 0.1376  5 C 2.26-2.42
Zr4 0.5000 0.5000 0.8624  5 C 2.26-2.42
C1 0.0000 0.0000 0.1714  1 Li 2.03, 1 Zr 2.26
C2 0.0000 0.0000 0.8286  1 Li 2.03, 1 Zr 2.26
C3 0.0000 0.5000 0.0000  2 Li 1.78
C4 0.0000 0.5000 0.5000  2 Li 1.78
C5 0.5000 0.0000 0.0000  2 Li 1.78
C6 0.5000 0.0000 0.5000  2 Li 1.78
C7 0.5000 0.5000 0.3286  1 Li 2.03, 1 Zr 2.26
C8 0.5000 0.5000 0.6714  1 Li 2.03, 1 Zr 2.26

As for the density of states at the Fermi level: 0.471 states/eV per atom. The space group is No. 139. The value obtained for the energy of formation from the pure elements is 934 meV/atom.